Entry w
DFT (PBE) results for crystalline PrGe3Rh3 at its relaxed geometry.

POSCAR file:
```
PrGe3Rh3
1.0
-4.4125 -4.8124 -1.5364
4.9992 -4.4532 -0.4089
-0.7267 -1.4142 6.5163
Pr Ge Rh
2 6 6
direct
0.5000 0.5000 0.5000
0.0000 0.0000 0.0000
0.0000 0.2500 0.5000
0.0000 0.7500 0.5000
0.5000 0.0000 0.7500
0.7500 0.5000 0.0000
0.5000 0.0000 0.2500
0.2500 0.5000 0.0000
0.2500 0.0000 0.5000
0.0000 0.5000 0.2500
0.5000 0.7500 0.0000
0.7500 0.0000 0.5000
0.0000 0.5000 0.7500
0.5000 0.2500 0.0000
```

Computed properties:
Its space-group type is Pm-3n. Its total magnetic moment is 0.000 μB per atom. For the volume, the calculation gives 301.77 Å³/cell.

=====

Entry x
DFT (PBE) results for crystalline PrGe3Rh3 at its relaxed geometry.

POSCAR file:
```
PrGe3Rh3
1.0
7.8422 0.0001 0.0003
0.0001 7.8422 0.0001
0.0003 0.0001 7.8422
Pr Ge Rh
4 12 12
direct
0.0576 0.5576 0.9424
0.9424 0.0576 0.5576
0.4424 0.4424 0.4424
0.5576 0.9424 0.0576
0.6943 0.5798 0.0185
0.9202 0.9815 0.1943
0.0185 0.6943 0.5798
0.0798 0.4815 0.3057
0.3057 0.0798 0.4815
0.1943 0.9202 0.9815
0.9815 0.1943 0.9202
0.4202 0.5185 0.8057
0.4815 0.3057 0.0798
0.5798 0.0185 0.6943
0.8057 0.4202 0.5185
0.5185 0.8057 0.4202
0.8178 0.3178 0.1822
0.8889 0.8889 0.8889
0.8081 0.6919 0.3081
0.1822 0.8178 0.3178
0.1919 0.1919 0.1919
0.3081 0.8081 0.6919
0.1111 0.3889 0.6111
0.3178 0.1822 0.8178
0.6919 0.3081 0.8081
0.6822 0.6822 0.6822
0.6111 0.1111 0.3889
0.3889 0.6111 0.1111
```

Computed properties:
Its space-group type is P2_13. Its total magnetic moment is 0.000 μB per atom. For the volume, the calculation gives 482.30 Å³/cell.

=====

Entry y
DFT (PBE) results for crystalline PrGe3Rh3 at its relaxed geometry.

POSCAR file:
```
PrGe3Rh3
1.0
-3.7600 -0.1015 2.2612
2.6386 -7.3375 4.0582
1.8735 7.8571 3.4678
Pr Ge Rh
2 6 6
direct
0.2500 0.6667 0.3333
0.7500 0.3333 0.6667
0.7500 0.3452 0.2854
0.7500 0.9402 0.6548
0.2500 0.2854 0.9402
0.7500 0.7146 0.0598
0.2500 0.0598 0.3452
0.2500 0.6548 0.7146
0.7500 0.4231 0.0529
0.7500 0.6298 0.5769
0.2500 0.0529 0.6298
0.7500 0.9471 0.3702
0.2500 0.3702 0.4231
0.2500 0.5769 0.9471
```

Computed properties:
Its space-group type is P6_3/m. Its total magnetic moment is 0.000 μB per atom. For the volume, the calculation gives 293.68 Å³/cell.

=====

Q: Which of them is the least stable? A: entry w.

=====

Entry w
DFT (PBE) results for crystalline PrGe2Ru at its relaxed geometry.

POSCAR file:
```
PrGe2Ru
1.0
4.9044 0.0000 0.0000
2.4522 4.2473 0.0000
2.4522 1.4158 3.7080
Pr Ru Ge
1 1 2
direct
0.5000 0.5000 0.5000
0.0000 0.0000 0.0000
0.2393 0.2393 0.2821
0.7607 0.7607 0.7179
```

Computed properties:
Its space-group type is R-3m. Its total magnetic moment is 0.000 μB per atom. For the volume, the calculation gives 77.24 Å³/cell.

=====

Entry x
DFT (PBE) results for crystalline PrGe2Ru at its relaxed geometry.

POSCAR file:
```
PrGe2Ru
1.0
4.3348 0.0000 0.0000
0.0000 7.1947 0.0000
0.0000 0.0000 10.4216
Pr Ge Ru
4 8 4
direct
0.7500 0.6669 0.3734
0.7500 0.1669 0.1266
0.2500 0.3331 0.6266
0.2500 0.8331 0.8734
0.7500 0.6848 0.0767
0.2500 0.3152 0.9233
0.7500 0.1848 0.4233
0.2500 0.8152 0.5767
0.7500 0.1355 0.8183
0.2500 0.3645 0.3183
0.7500 0.6355 0.6817
0.2500 0.8645 0.1817
0.2500 0.0176 0.3903
0.7500 0.9824 0.6097
0.2500 0.5176 0.1097
0.7500 0.4824 0.8903
```

Computed properties:
Its space-group type is Pnma. Its total magnetic moment is 0.000 μB per atom. For the volume, the calculation gives 325.02 Å³/cell.

=====

Q: Which of them is the least stable? A: entry w.

=====

Entry w
DFT (PBE) results for crystalline Pr2GeSb at its relaxed geometry.

POSCAR file:
```
Pr2GeSb
1.0
-1.7185 3.6501 -1.7508
-2.2512 -0.2195 -3.7717
-7.5738 0.0215 1.9552
Pr Sb Ge
2 1 1
direct
0.7458 0.7458 0.7625
0.2542 0.2542 0.2375
0.5000 0.5000 0.5000
0.0000 0.0000 0.0000
```

Computed properties:
Its space-group type is R-3m. Its total magnetic moment is 0.000 μB per atom. For the volume, the calculation gives 123.93 Å³/cell.

=====

Entry x
DFT (PBE) results for crystalline Pr2GeSb at its relaxed geometry.

POSCAR file:
```
Pr2GeSb
1.0
-2.9318 2.7603 -1.5238
1.9788 -0.1826 -4.1379
-8.1782 -9.2153 -0.9582
Pr Ge Sb
4 2 2
direct
0.7500 0.6804 0.3608
0.2500 0.3196 0.6392
0.7500 0.9389 0.8778
0.2500 0.0611 0.1222
0.2500 0.4607 0.9214
0.7500 0.5393 0.0786
0.2500 0.1887 0.3773
0.7500 0.8113 0.6227
```

Computed properties:
Its space-group type is Cmcm. Its total magnetic moment is 0.000 μB per atom. For the volume, the calculation gives 239.99 Å³/cell.

=====

Q: Which of them is the least stable? A: entry w.

=====

Entry w
DFT (PBE) results for crystalline Pr2Sc3Ge4 at its relaxed geometry.

POSCAR file:
```
Pr2Sc3Ge4
1.0
-7.0181 1.9491 -1.2152
1.6430 -6.1232 -4.1805
-2.2486 -4.5198 5.7365
Pr Sc Ge
4 6 8
direct
0.5683 0.1935 0.3267
0.9317 0.8065 0.8267
0.4317 0.8065 0.6733
0.0683 0.1935 0.1733
0.0000 0.5000 0.5000
0.5000 0.5000 0.0000
0.7506 0.2517 0.8306
0.7494 0.7483 0.3306
0.2494 0.7483 0.1694
0.2506 0.2517 0.6694
0.8620 0.0838 0.5426
0.6380 0.9162 0.0426
0.1380 0.9162 0.4574
0.3620 0.0838 0.9574
0.8633 0.4975 0.1313
0.6367 0.5025 0.6313
0.1367 0.5025 0.8687
0.3633 0.4975 0.3687
```

Computed properties:
Its space-group type is P2_1/c. Its total magnetic moment is 0.000 μB per atom. For the volume, the calculation gives 404.83 Å³/cell.

=====

Entry x
DFT (PBE) results for crystalline Pr2Sc3Ge4 at its relaxed geometry.

POSCAR file:
```
Pr2Sc3Ge4
1.0
6.5009 0.0000 0.0000
0.0000 8.0734 0.0000
-3.2504 0.0000 7.9443
Pr Sc Ge
4 6 8
direct
0.1101 0.5902 0.2202
0.8899 0.4098 0.7798
0.3899 0.0902 0.7798
0.6101 0.9098 0.2202
0.0000 0.0000 0.0000
0.5000 0.5000 0.0000
0.5428 0.7500 0.5856
0.9572 0.2500 0.4144
0.4572 0.2500 0.4144
0.0428 0.7500 0.5856
0.7134 0.7500 0.9268
0.7866 0.2500 0.0732
0.2866 0.2500 0.0732
0.2134 0.7500 0.9268
0.1902 0.9467 0.3803
0.8098 0.0533 0.6197
0.3098 0.4467 0.6197
0.6902 0.5533 0.3803
```

Computed properties:
Its space-group type is Cmce. Its total magnetic moment is 0.000 μB per atom. For the volume, the calculation gives 416.95 Å³/cell.

=====

Q: Which of them is the least stable? A: entry x.

=====

Entry w
DFT (PBE) results for crystalline Pr2Si2Ge at its relaxed geometry.

POSCAR file:
```
Pr2Si2Ge
1.0
-0.2557 -6.3923 -3.5518
7.2816 -0.5506 0.4667
-0.8081 -4.2117 7.6382
Pr Si Ge
8 8 4
direct
0.6828 0.8173 0.5000
0.3172 0.1827 0.5000
0.8172 0.3173 0.0000
0.1828 0.6827 0.0000
0.8173 0.3172 0.5000
0.1827 0.6828 0.5000
0.3173 0.1828 0.0000
0.6827 0.8172 0.0000
0.3850 0.8850 0.2500
0.6150 0.1150 0.2500
0.1150 0.3850 0.7500
0.8850 0.6150 0.7500
0.8850 0.6150 0.2500
0.1150 0.3850 0.2500
0.3850 0.8850 0.7500
0.6150 0.1150 0.7500
0.5000 0.5000 0.2499
0.0000 0.0000 0.7499
0.5000 0.5000 0.7501
0.0000 0.0000 0.2501
```

Computed properties:
Its space-group type is P4/mbm. Its total magnetic moment is 0.000 μB per atom. For the volume, the calculation gives 469.02 Å³/cell.

=====

Entry x
DFT (PBE) results for crystalline Pr2Si2Ge at its relaxed geometry.

POSCAR file:
```
Pr2Si2Ge
1.0
4.3447 0.0000 0.0000
2.1723 5.5301 -0.0414
2.1723 0.7945 9.6906
Pr Si Ge
4 4 2
direct
0.7048 0.2314 0.3590
0.8966 0.3041 0.9026
0.2952 0.7686 0.6410
0.1034 0.6959 0.0974
0.0259 0.3552 0.5930
0.6147 0.8749 0.8958
0.9741 0.6448 0.4070
0.3853 0.1251 0.1042
0.5634 0.1819 0.6912
0.4366 0.8181 0.3088
```

Computed properties:
Its space-group type is C2/m. Its total magnetic moment is 0.000 μB per atom. For the volume, the calculation gives 232.97 Å³/cell.

=====

Q: Which of them is the least stable? A: entry w.

=====

Entry w
DFT (PBE) results for crystalline Pr6Si2Ge at its relaxed geometry.

POSCAR file:
```
Pr6Si2Ge
1.0
-1.3562 -5.6736 -2.5313
1.1425 -3.6034 7.4644
-9.8047 1.3968 2.1750
Pr Si Ge
12 4 2
direct
0.8696 0.9613 0.2299
0.8609 0.6695 0.5610
0.8760 0.6777 0.9378
0.6240 0.1777 0.5622
0.6391 0.1695 0.9390
0.6304 0.4613 0.2701
0.1304 0.0387 0.7701
0.1391 0.3305 0.4390
0.1240 0.3223 0.0622
0.3760 0.8223 0.4378
0.3609 0.8305 0.0610
0.3696 0.5387 0.7299
0.9255 0.3795 0.7491
0.5745 0.8795 0.7509
0.4255 0.1205 0.2491
0.0745 0.6205 0.2509
0.5000 0.5000 0.0000
0.0000 0.0000 0.5000
```

Computed properties:
Its space-group type is P2_1/c. Its total magnetic moment is 0.000 μB per atom. For the volume, the calculation gives 539.50 Å³/cell.

=====

Entry x
DFT (PBE) results for crystalline Pr6Si2Ge at its relaxed geometry.

POSCAR file:
```
Pr6Si2Ge
1.0
8.2667 0.0264 -2.9278
-4.3955 7.1495 -2.5445
-0.0084 -0.0264 8.7698
Pr Si Ge
12 4 2
direct
0.5508 0.7315 0.8193
0.4492 0.2685 0.1807
0.0877 0.2685 0.8193
0.9123 0.7315 0.1807
0.8003 0.7554 0.5558
0.1997 0.2446 0.4442
0.1997 0.7554 0.9551
0.8003 0.2446 0.0449
0.7105 0.3866 0.6761
0.2895 0.6134 0.3239
0.2895 0.9656 0.6761
0.7105 0.0344 0.3239
0.5000 0.3865 0.8865
0.5000 0.6135 0.1135
0.6232 0.0000 0.6232
0.3768 0.0000 0.3768
0.0000 0.5000 0.5000
0.0000 0.0000 0.0000
```

Computed properties:
Its space-group type is Immm. Its total magnetic moment is 0.000 μB per atom. For the volume, the calculation gives 518.27 Å³/cell.

=====

Q: Which of them is the least stable? A: entry w.